DFT (PBE) results for crystalline TmCd11Rh at its relaxed geometry.

Values from the calculation:
total magnetization = 0.0 μB per formula unit
E_form = -1.1 eV/f.u.
density = 8.852 Mg/m³
DFT total energy = -23.0 eV for the cell shown
N(E_F) = 5.8 states/eV/f.u.

Cell: 5.685 7.553 7.700 Å, 81.71 68.34 67.02°
Atoms (fractional coordinates):
Cd 0.500 0.000 0.500
Cd 0.000 0.500 0.000
Cd 0.639 0.356 0.335
Cd 0.508 0.212 0.795
Cd 0.697 0.788 0.795
Cd 0.303 0.212 0.205
Cd 0.974 0.356 0.665
Cd 0.361 0.644 0.665
Cd 0.026 0.644 0.335
Cd 0.492 0.788 0.205
Cd 0.000 0.000 0.500
Rh 0.500 0.500 0.000
Tm 0.000 0.000 0.000

---

DFT (PBE) results for crystalline TlSnSbSe2 at its relaxed geometry.

Values from the calculation:
total magnetization = 0.0 μB per formula unit
density = 5.954 Mg/m³
DFT total energy = -15.8 eV for the cell shown
N(E_F) = 4.3 states/eV/f.u.

Cell: 5.446 5.669 5.446 Å, 90.00 90.00 90.00°
Atoms (fractional coordinates):
Se 0.000 0.000 0.500
Se 0.500 0.000 0.000
Sb 0.000 0.000 0.000
Tl 0.000 0.500 0.000
Sn 0.500 0.500 0.500

---

DFT (PBE) results for crystalline LaSn2Hg2 at its relaxed geometry.

Values from the calculation:
total magnetization = 0.0 μB per formula unit
E_form = -1.4 eV/f.u.
density = 9.452 Mg/m³
DFT total energy = -30.0 eV for the cell shown
N(E_F) = 2.4 states/eV/f.u.
excess energy over the best structure of this formula in the dataset = 0.0963 eV/atom

Cell: 8.468 8.468 3.809 Å, 90.00 90.00 90.00°
Atoms (fractional coordinates):
Hg 0.123 0.377 0.000
Hg 0.877 0.623 0.000
Hg 0.377 0.877 0.000
Hg 0.623 0.123 0.000
Sn 0.179 0.679 0.500
Sn 0.679 0.821 0.500
Sn 0.821 0.321 0.500
Sn 0.321 0.179 0.500
La 0.000 0.000 0.000
La 0.500 0.500 0.000

---

Q: Look up the DFT total energy of the first one.
A: -23.0 eV for the cell shown

---

Q: Which of these has the highest N(E_F)?
A: TmCd11Rh

---

Q: Look up the total magnetization of the third one.
A: 0.0 μB per formula unit